No. 1
A plane-wave DFT calculation with meta-GGA SCAN was carried out for In6Hg7 at its PBEsol-relaxed geometry.

Geometry as CIF:
```
data_In6Hg7
_space_group_name_H-M_alt 'R -3 m'
_space_group_IT_number 166
_space_group_name_Hall '-R 3 2"'
_cell_length_a 5.9958
_cell_length_b 5.9958
_cell_length_c 30.9416
_cell_angle_alpha 90.00
_cell_angle_beta 90.00
_cell_angle_gamma 120.00
loop_
_atom_site_label
_atom_site_type_symbol
_atom_site_fract_x
_atom_site_fract_y
_atom_site_fract_z
_atom_site_occupancy
In1 In 0.0000 0.0000 0.0484 1
In2 In 0.0000 0.0000 0.1543 1
In3 In 0.0000 0.0000 0.3345 1
Hg1 Hg 0.0000 0.0000 0.5000 1
Hg2 Hg 0.0036 0.5018 0.9131 1
```

V: 24.70 A^3/atom
magnetic moment: 0.0 μB/f.u.
calculated formation energy: 0.103 eV/atom
energy: -52.01 eV per atom

No. 2
A plane-wave DFT calculation with meta-GGA SCAN was carried out for In4Hg5 at its PBEsol-relaxed geometry.

Geometry as CIF:
```
data_In4Hg5
_space_group_name_H-M_alt 'P 63/m c m'
_space_group_IT_number 193
_space_group_name_Hall '-P 6c 2'
_cell_length_a 9.0540
_cell_length_b 9.0540
_cell_length_c 6.1627
_cell_angle_alpha 90.00
_cell_angle_beta 90.00
_cell_angle_gamma 120.00
loop_
_atom_site_label
_atom_site_type_symbol
_atom_site_fract_x
_atom_site_fract_y
_atom_site_fract_z
_atom_site_occupancy
In1 In 0.0000 0.0000 0.0000 1
In2 In 0.0000 0.3705 0.2500 1
Hg1 Hg 0.0000 0.2982 0.7500 1
Hg2 Hg 0.3333 0.6667 0.0000 1
```

V: 24.31 A^3/atom
ΔE to the lowest computed polymorph: 0.00 eV per formula unit
magnetic moment: 0.0 μB/f.u.
calculated formation energy: 0.030 eV/atom
energy: -52.68 eV per atom

No. 3
A plane-wave DFT calculation with meta-GGA SCAN was carried out for In3Hg2 at its PBEsol-relaxed geometry.

Geometry as CIF:
```
data_In3Hg2
_space_group_name_H-M_alt 'P -3 m 1'
_space_group_IT_number 164
_space_group_name_Hall '-P 3 2"'
_cell_length_a 4.6442
_cell_length_b 4.6442
_cell_length_c 6.9862
_cell_angle_alpha 90.00
_cell_angle_beta 90.00
_cell_angle_gamma 120.00
loop_
_atom_site_label
_atom_site_type_symbol
_atom_site_fract_x
_atom_site_fract_y
_atom_site_fract_z
_atom_site_occupancy
In1 In 0.0000 0.0000 0.0000 1
In2 In 0.3333 0.6667 0.3628 1
Hg1 Hg 0.3333 0.6667 0.8074 1
```

V: 26.10 A^3/atom
ΔE to the lowest computed polymorph: 0.09 eV per formula unit
magnetic moment: 0.0 μB/f.u.
calculated formation energy: 0.018 eV/atom
energy: -47.28 eV per atom

No. 4
A plane-wave DFT calculation with meta-GGA SCAN was carried out for In3Hg4 at its PBEsol-relaxed geometry.

Geometry as CIF:
```
data_In3Hg4
_space_group_name_H-M_alt 'P 6/m m m'
_space_group_IT_number 191
_space_group_name_Hall '-P 6 2'
_cell_length_a 6.0455
_cell_length_b 6.0455
_cell_length_c 5.6056
_cell_angle_alpha 90.00
_cell_angle_beta 90.00
_cell_angle_gamma 120.00
loop_
_atom_site_label
_atom_site_type_symbol
_atom_site_fract_x
_atom_site_fract_y
_atom_site_fract_z
_atom_site_occupancy
In1 In 0.0000 0.5000 0.0000 1
Hg1 Hg 0.0000 0.0000 0.2557 1
Hg2 Hg 0.3333 0.6667 0.5000 1
```

V: 25.35 A^3/atom
magnetic moment: 0.0 μB/f.u.
calculated formation energy: 0.085 eV/atom
energy: -53.18 eV per atom

No. 5
A plane-wave DFT calculation with meta-GGA SCAN was carried out for In5Hg at its PBEsol-relaxed geometry.

Geometry as CIF:
```
data_In5Hg
_space_group_name_H-M_alt 'P 4/m m m'
_space_group_IT_number 123
_space_group_name_Hall '-P 4 2'
_cell_length_a 3.347
_cell_length_b 3.347
_cell_length_c 13.241
_cell_angle_alpha 90.00
_cell_angle_beta 90.00
_cell_angle_gamma 90.00
loop_
_atom_site_label
_atom_site_type_symbol
_atom_site_fract_x
_atom_site_fract_y
_atom_site_fract_z
_atom_site_occupancy
In1 In 0.000 0.000 0.000 1
In2 In 0.000 0.000 0.342 1
In3 In 0.500 0.500 0.170 1
Hg1 Hg 0.500 0.500 0.500 1
```

V: 24.71 A^3/atom
ΔE to the lowest computed polymorph: 0.00 eV per formula unit
magnetic moment: 0.0 μB/f.u.
calculated formation energy: 0.060 eV/atom
energy: -39.12 eV per atom

No. 6
A plane-wave DFT calculation with meta-GGA SCAN was carried out for In7Hg at its PBEsol-relaxed geometry.

Geometry as CIF:
```
data_In7Hg
_space_group_name_H-M_alt 'F m -3 m'
_space_group_IT_number 225
_space_group_name_Hall '-F 4 2 3'
_cell_length_a 9.277
_cell_length_b 9.277
_cell_length_c 9.277
_cell_angle_alpha 90.00
_cell_angle_beta 90.00
_cell_angle_gamma 90.00
loop_
_atom_site_label
_atom_site_type_symbol
_atom_site_fract_x
_atom_site_fract_y
_atom_site_fract_z
_atom_site_occupancy
In1 In 0.000 0.000 0.000 1
In2 In 0.000 0.250 0.250 1
Hg1 Hg 0.000 0.000 0.500 1
```

V: 24.95 A^3/atom
magnetic moment: 0.0 μB/f.u.
calculated formation energy: 0.058 eV/atom
energy: -37.68 eV per atom

No. 7
A plane-wave DFT calculation with meta-GGA SCAN was carried out for In5Hg at its PBEsol-relaxed geometry.

Geometry as CIF:
```
data_In5Hg
_space_group_name_H-M_alt 'A m m 2'
_space_group_IT_number 38
_space_group_name_Hall 'A 2 -2'
_cell_length_a 5.263
_cell_length_b 3.581
_cell_length_c 15.933
_cell_angle_alpha 90.00
_cell_angle_beta 90.00
_cell_angle_gamma 90.00
loop_
_atom_site_label
_atom_site_type_symbol
_atom_site_fract_x
_atom_site_fract_y
_atom_site_fract_z
_atom_site_occupancy
In1 In 0.000 0.000 0.000 1
In2 In 0.000 0.000 0.326 1
In3 In 0.500 0.000 0.195 1
In4 In 0.500 0.000 0.530 1
In5 In 0.500 0.000 0.863 1
Hg1 Hg 0.000 0.000 0.664 1
```

V: 25.02 A^3/atom
ΔE to the lowest computed polymorph: 0.03 eV per formula unit
magnetic moment: 0.0 μB/f.u.
calculated formation energy: 0.065 eV/atom
energy: -39.12 eV per atom

No. 8
A plane-wave DFT calculation with meta-GGA SCAN was carried out for In4Hg3 at its PBEsol-relaxed geometry.

Geometry as CIF:
```
data_In4Hg3
_space_group_name_H-M_alt 'I 4/m m m'
_space_group_IT_number 139
_space_group_name_Hall '-I 4 2'
_cell_length_a 3.917
_cell_length_b 3.917
_cell_length_c 22.355
_cell_angle_alpha 90.00
_cell_angle_beta 90.00
_cell_angle_gamma 90.00
loop_
_atom_site_label
_atom_site_type_symbol
_atom_site_fract_x
_atom_site_fract_y
_atom_site_fract_z
_atom_site_occupancy
In1 In 0.000 0.000 0.071 1
In2 In 0.000 0.000 0.352 1
Hg1 Hg 0.000 0.000 0.214 1
Hg2 Hg 0.000 0.000 0.500 1
```

V: 24.50 A^3/atom
magnetic moment: 0.0 μB/f.u.
calculated formation energy: 0.050 eV/atom
energy: -48.24 eV per atom

No. 9
A plane-wave DFT calculation with meta-GGA SCAN was carried out for In5Hg at its PBEsol-relaxed geometry.

Geometry as CIF:
```
data_In5Hg
_space_group_name_H-M_alt 'C 1 m 1'
_space_group_IT_number 8
_space_group_name_Hall 'C -2y'
_cell_length_a 11.950
_cell_length_b 3.447
_cell_length_c 7.665
_cell_angle_alpha 90.00
_cell_angle_beta 108.10
_cell_angle_gamma 90.00
loop_
_atom_site_label
_atom_site_type_symbol
_atom_site_fract_x
_atom_site_fract_y
_atom_site_fract_z
_atom_site_occupancy
In1 In 0.000 0.000 0.000 1
In2 In 0.019 0.000 0.567 1
In3 In 0.165 0.500 0.348 1
In4 In 0.199 0.500 0.890 1
In5 In 0.359 0.000 0.228 1
Hg1 Hg 0.330 0.000 0.673 1
```

V: 25.01 A^3/atom
ΔE to the lowest computed polymorph: 0.04 eV per formula unit
magnetic moment: 0.0 μB/f.u.
calculated formation energy: 0.067 eV/atom
energy: -39.12 eV per atom

No. 10
A plane-wave DFT calculation with meta-GGA SCAN was carried out for In5Hg24 at its PBEsol-relaxed geometry.

Geometry as CIF:
```
data_In5Hg24
_space_group_name_H-M_alt 'I -4 3 m'
_space_group_IT_number 217
_space_group_name_Hall 'I -4 2 3'
_cell_length_a 11.119
_cell_length_b 11.119
_cell_length_c 11.119
_cell_angle_alpha 90.00
_cell_angle_beta 90.00
_cell_angle_gamma 90.00
loop_
_atom_site_label
_atom_site_type_symbol
_atom_site_fract_x
_atom_site_fract_y
_atom_site_fract_z
_atom_site_occupancy
In1 In 0.000 0.000 0.000 1
In2 In 0.168 0.168 0.832 1
Hg1 Hg 0.057 0.365 0.365 1
Hg2 Hg 0.098 0.098 0.291 1
```

V: 23.70 A^3/atom
magnetic moment: 0.0 μB/f.u.
calculated formation energy: 0.053 eV/atom
energy: -62.12 eV per atom

No. 11
A plane-wave DFT calculation with meta-GGA SCAN was carried out for InHg7 at its PBEsol-relaxed geometry.

Geometry as CIF:
```
data_InHg7
_space_group_name_H-M_alt 'F m -3 m'
_space_group_IT_number 225
_space_group_name_Hall '-F 4 2 3'
_cell_length_a 9.099
_cell_length_b 9.099
_cell_length_c 9.099
_cell_angle_alpha 90.00
_cell_angle_beta 90.00
_cell_angle_gamma 90.00
loop_
_atom_site_label
_atom_site_type_symbol
_atom_site_fract_x
_atom_site_fract_y
_atom_site_fract_z
_atom_site_occupancy
In1 In 0.000 0.000 0.000 1
Hg1 Hg 0.000 0.000 0.500 1
Hg2 Hg 0.000 0.250 0.250 1
```

V: 23.54 A^3/atom
magnetic moment: 0.0 μB/f.u.
calculated formation energy: 0.023 eV/atom
energy: -63.80 eV per atom

No. 12
A plane-wave DFT calculation with meta-GGA SCAN was carried out for In5Hg at its PBEsol-relaxed geometry.

Geometry as CIF:
```
data_In5Hg
_space_group_name_H-M_alt 'C m m m'
_space_group_IT_number 65
_space_group_name_Hall '-C 2 2'
_cell_length_a 4.468
_cell_length_b 14.748
_cell_length_c 4.499
_cell_angle_alpha 90.00
_cell_angle_beta 90.00
_cell_angle_gamma 90.00
loop_
_atom_site_label
_atom_site_type_symbol
_atom_site_fract_x
_atom_site_fract_y
_atom_site_fract_z
_atom_site_occupancy
In1 In 0.000 0.000 0.000 1
In2 In 0.000 0.165 0.500 1
In3 In 0.000 0.335 0.000 1
Hg1 Hg 0.000 0.500 0.500 1
```

V: 24.70 A^3/atom
ΔE to the lowest computed polymorph: 0.01 eV per formula unit
magnetic moment: 0.0 μB/f.u.
calculated formation energy: 0.061 eV/atom
energy: -39.12 eV per atom

No. 13
A plane-wave DFT calculation with meta-GGA SCAN was carried out for In4Hg5 at its PBEsol-relaxed geometry.

Geometry as CIF:
```
data_In4Hg5
_space_group_name_H-M_alt 'I 4/m m m'
_space_group_IT_number 139
_space_group_name_Hall '-I 4 2'
_cell_length_a 10.123
_cell_length_b 10.123
_cell_length_c 4.207
_cell_angle_alpha 90.00
_cell_angle_beta 90.00
_cell_angle_gamma 90.00
loop_
_atom_site_label
_atom_site_type_symbol
_atom_site_fract_x
_atom_site_fract_y
_atom_site_fract_z
_atom_site_occupancy
In1 In 0.000 0.325 0.000 1
Hg1 Hg 0.000 0.000 0.000 1
Hg2 Hg 0.166 0.166 0.500 1
```

V: 23.95 A^3/atom
ΔE to the lowest computed polymorph: 0.14 eV per formula unit
magnetic moment: 0.0 μB/f.u.
calculated formation energy: 0.046 eV/atom
energy: -52.66 eV per atom

No. 14
A plane-wave DFT calculation with meta-GGA SCAN was carried out for In3Hg2 at its PBEsol-relaxed geometry.

Geometry as CIF:
```
data_In3Hg2
_space_group_name_H-M_alt 'R -3 m'
_space_group_IT_number 166
_space_group_name_Hall '-R 3 2"'
_cell_length_a 3.6056
_cell_length_b 3.6056
_cell_length_c 32.7721
_cell_angle_alpha 90.00
_cell_angle_beta 90.00
_cell_angle_gamma 120.00
loop_
_atom_site_label
_atom_site_type_symbol
_atom_site_fract_x
_atom_site_fract_y
_atom_site_fract_z
_atom_site_occupancy
In1 In 0.0000 0.0000 0.0000 1
In2 In 0.0000 0.0000 0.2022 1
Hg1 Hg 0.0000 0.0000 0.3991 1
```

V: 24.60 A^3/atom
ΔE to the lowest computed polymorph: 0.00 eV per formula unit
magnetic moment: 0.0 μB/f.u.
calculated formation energy: 0.000 eV/atom
energy: -47.30 eV per atom

No. 15
A plane-wave DFT calculation with meta-GGA SCAN was carried out for In2HgIr at its PBEsol-relaxed geometry.

Geometry as CIF:
```
data_In2HgIr
_space_group_name_H-M_alt 'F -4 3 m'
_space_group_IT_number 216
_space_group_name_Hall 'F -4 2 3'
_cell_length_a 6.767
_cell_length_b 6.767
_cell_length_c 6.767
_cell_angle_alpha 90.00
_cell_angle_beta 90.00
_cell_angle_gamma 90.00
loop_
_atom_site_label
_atom_site_type_symbol
_atom_site_fract_x
_atom_site_fract_y
_atom_site_fract_z
_atom_site_occupancy
In1 In 0.000 0.000 0.000 1
In2 In 0.250 0.250 0.250 1
Hg1 Hg 0.250 0.250 0.750 1
Ir1 Ir 0.000 0.000 0.500 1
```

V: 19.37 A^3/atom
magnetic moment: 0.0 μB/f.u.
calculated formation energy: 0.430 eV/atom
energy: -51.08 eV per atom

No. 16
A plane-wave DFT calculation with meta-GGA SCAN was carried out for InHgIr2 at its PBEsol-relaxed geometry.

Geometry as CIF:
```
data_InHgIr2
_space_group_name_H-M_alt 'I -4 m 2'
_space_group_IT_number 119
_space_group_name_Hall 'I -4 -2'
_cell_length_a 4.054
_cell_length_b 4.054
_cell_length_c 8.139
_cell_angle_alpha 90.00
_cell_angle_beta 90.00
_cell_angle_gamma 90.00
loop_
_atom_site_label
_atom_site_type_symbol
_atom_site_fract_x
_atom_site_fract_y
_atom_site_fract_z
_atom_site_occupancy
In1 In 0.000 0.000 0.000 1
Hg1 Hg 0.000 0.500 0.750 1
Ir1 Ir 0.000 0.000 0.500 1
Ir2 Ir 0.000 0.500 0.250 1
```

V: 16.72 A^3/atom
ΔE to the lowest computed polymorph: 0.43 eV per formula unit
magnetic moment: 0.0 μB/f.u.
calculated formation energy: 0.474 eV/atom
energy: -60.46 eV per atom

No. 17
A plane-wave DFT calculation with meta-GGA SCAN was carried out for InHgIr3 at its PBEsol-relaxed geometry.

Geometry as CIF:
```
data_InHgIr3
_space_group_name_H-M_alt 'P m -3 m'
_space_group_IT_number 221
_space_group_name_Hall '-P 4 2 3'
_cell_length_a 4.849
_cell_length_b 4.849
_cell_length_c 4.849
_cell_angle_alpha 90.00
_cell_angle_beta 90.00
_cell_angle_gamma 90.00
loop_
_atom_site_label
_atom_site_type_symbol
_atom_site_fract_x
_atom_site_fract_y
_atom_site_fract_z
_atom_site_occupancy
In1 In 0.000 0.000 0.000 1
Hg1 Hg 0.500 0.500 0.500 1
Ir1 Ir 0.000 0.500 0.500 1
```

V: 22.81 A^3/atom
magnetic moment: 0.0 μB/f.u.
calculated formation energy: 2.346 eV/atom
energy: -60.62 eV per atom

No. 18
A plane-wave DFT calculation with meta-GGA SCAN was carried out for In3HgIr at its PBEsol-relaxed geometry.

Geometry as CIF:
```
data_In3HgIr
_space_group_name_H-M_alt 'P m -3 m'
_space_group_IT_number 221
_space_group_name_Hall '-P 4 2 3'
_cell_length_a 5.120
_cell_length_b 5.120
_cell_length_c 5.120
_cell_angle_alpha 90.00
_cell_angle_beta 90.00
_cell_angle_gamma 90.00
loop_
_atom_site_label
_atom_site_type_symbol
_atom_site_fract_x
_atom_site_fract_y
_atom_site_fract_z
_atom_site_occupancy
In1 In 0.000 0.000 0.500 1
Hg1 Hg 0.500 0.500 0.500 1
Ir1 Ir 0.000 0.000 0.000 1
```

V: 26.84 A^3/atom
magnetic moment: 0.0 μB/f.u.
calculated formation energy: -0.242 eV/atom
energy: -48.13 eV per atom

No. 19
A plane-wave DFT calculation with meta-GGA SCAN was carried out for In2HgIr at its PBEsol-relaxed geometry.

Geometry as CIF:
```
data_In2HgIr
_space_group_name_H-M_alt 'P 4/m m m'
_space_group_IT_number 123
_space_group_name_Hall '-P 4 2'
_cell_length_a 4.989
_cell_length_b 4.989
_cell_length_c 3.066
_cell_angle_alpha 90.00
_cell_angle_beta 90.00
_cell_angle_gamma 90.00
loop_
_atom_site_label
_atom_site_type_symbol
_atom_site_fract_x
_atom_site_fract_y
_atom_site_fract_z
_atom_site_occupancy
In1 In 0.000 0.500 0.000 1
Hg1 Hg 0.000 0.000 0.500 1
Ir1 Ir 0.500 0.500 0.500 1
```

V: 19.08 A^3/atom
magnetic moment: 0.0 μB/f.u.
calculated formation energy: 0.212 eV/atom
energy: -51.30 eV per atom

No. 20
A plane-wave DFT calculation with meta-GGA SCAN was carried out for InHg2Ir at its PBEsol-relaxed geometry.

Geometry as CIF:
```
data_InHg2Ir
_space_group_name_H-M_alt 'P 4/m m m'
_space_group_IT_number 123
_space_group_name_Hall '-P 4 2'
_cell_length_a 4.127
_cell_length_b 4.127
_cell_length_c 4.350
_cell_angle_alpha 90.00
_cell_angle_beta 90.00
_cell_angle_gamma 90.00
loop_
_atom_site_label
_atom_site_type_symbol
_atom_site_fract_x
_atom_site_fract_y
_atom_site_fract_z
_atom_site_occupancy
In1 In 0.000 0.000 0.000 1
Hg1 Hg 0.000 0.500 0.500 1
Ir1 Ir 0.500 0.500 0.000 1
```

V: 18.52 A^3/atom
magnetic moment: 0.0 μB/f.u.
calculated formation energy: 0.412 eV/atom
energy: -59.79 eV per atom